No. 1
Entry from the Alexandria database: a geometry-optimized VP3Cl structure (PBE-GGA).

Cell lengths 4.5266, 4.5266, 4.5266 Å; angles 90.00, 90.00, 90.00 degrees
With the nearest neighbours (Å) after each atom.
Fractional coordinates of all 5 atoms:
V  0.0000  0.0000  0.0000  6 P 2.26
P  0.0000  0.0000  0.5000  2 V 2.26
P  0.0000  0.5000  0.0000  2 V 2.26
P  0.5000  0.0000  0.0000  2 V 2.26
Cl  0.5000  0.5000  0.5000  12 P 3.20

***

No. 2
Entry from the Alexandria database: a geometry-optimized CePbN structure (PBE-GGA).

Cell lengths 4.1072, 4.1072, 8.1494 Å; angles 90.00, 90.00, 90.00 degrees
With the nearest neighbours (Å) after each atom.
Fractional coordinates of all 6 atoms:
Ce  0.2500  0.2500  0.1273  4 N 2.30
Ce  0.7500  0.7500  0.8727  4 N 2.30
Pb  0.2500  0.2500  0.5875  4 Pb 3.24
Pb  0.7500  0.7500  0.4125  4 Pb 3.24
N  0.2500  0.7500  0.0000  4 Ce 2.30
N  0.7500  0.2500  0.0000  4 Ce 2.30

***

| no. | relative energy among the computed polymorphs (eV/atom) | uncorrected formation energy (eV per atom) |
| --- | --- | --- |
| 1 | 0.000 | 0.22 |
| 2 | 0.000 | -1.02 |